Entry 1:
{
  "formula": "Sm4HoEr2",
  "functional": "GGA-PBE",
  "state": "relaxed",
  "lattice": [[11.959, -3.058, -1.544], [-9.359, 8.049, -1.544], [0.020, 0.038, 6.749]],
  "species": ["Er", "Er", "Er", "Er", "Sm", "Sm", "Sm", "Sm", "Sm", "Sm", "Sm", "Sm", "Ho", "Ho"],
  "fractional_positions": [[0.101, 0.921, 0.551], [0.921, 0.101, 0.051], [0.301, 0.620, 0.950], [0.620, 0.301, 0.449], [0.185, 0.795, 0.894], [0.042, 0.151, 0.606], [0.600, 0.563, 0.640], [0.151, 0.042, 0.106], [0.710, 0.173, 0.861], [0.795, 0.185, 0.394], [0.173, 0.710, 0.361], [0.563, 0.600, 0.140], [0.675, 0.425, 0.000], [0.425, 0.675, 0.500]],
  "delta_e_f_ev_per_fu": 0.38,
  "total_energy_ev_per_atom": -4.600
}



Entry 2:
{
  "formula": "Sm6HoEr",
  "functional": "GGA-PBE",
  "state": "relaxed",
  "lattice": [[-7.122, -3.305, 3.981], [-7.986, 0.971, -0.456], [-2.187, -5.467, -2.010]],
  "species": ["Ho", "Sm", "Sm", "Sm", "Sm", "Sm", "Sm", "Er"],
  "fractional_positions": [[0.500, 0.500, 0.500], [0.250, 0.250, 0.750], [0.750, 0.750, 0.250], [0.624, 0.624, 0.876], [0.376, 0.376, 0.124], [0.124, 0.124, 0.376], [0.876, 0.876, 0.624], [0.000, 0.000, 0.000]],
  "delta_e_f_ev_per_fu": 0.13,
  "total_energy_ev_per_atom": -4.665
}



Entry 3:
{
  "formula": "Sm4Ho3Er4",
  "functional": "GGA-PBE",
  "state": "relaxed",
  "lattice": [[3.505, 0.000, 0.003], [0.000, 5.617, 0.004], [1.744, 2.794, 17.731]],
  "species": ["Er", "Er", "Er", "Er", "Sm", "Sm", "Sm", "Sm", "Ho", "Ho", "Ho"],
  "fractional_positions": [[0.546, 0.545, 0.909], [0.454, 0.455, 0.091], [0.319, 0.820, 0.361], [0.681, 0.180, 0.639], [0.732, 0.733, 0.535], [0.410, 0.910, 0.181], [0.268, 0.267, 0.465], [0.590, 0.090, 0.819], [0.136, 0.636, 0.728], [0.864, 0.364, 0.272], [0.000, 0.000, 0.000]],
  "delta_e_f_ev_per_fu": 0.71,
  "total_energy_ev_per_atom": -4.559
}



Entry 4:
{
  "formula": "Sm3Ho12Er",
  "functional": "GGA-PBE",
  "state": "relaxed",
  "lattice": [[5.009, 0.000, 0.000], [0.000, 5.009, 0.000], [0.000, 0.000, 20.034]],
  "species": ["Sm", "Sm", "Sm", "Ho", "Ho", "Ho", "Ho", "Ho", "Ho", "Ho", "Ho", "Ho", "Ho", "Ho", "Ho", "Er"],
  "fractional_positions": [[0.000, 0.000, 0.751], [0.000, 0.000, 0.249], [0.000, 0.000, 0.500], [0.500, 0.000, 0.876], [0.000, 0.500, 0.374], [0.000, 0.500, 0.626], [0.500, 0.500, 0.000], [0.500, 0.500, 0.751], [0.000, 0.500, 0.124], [0.500, 0.000, 0.374], [0.500, 0.500, 0.249], [0.500, 0.000, 0.626], [0.000, 0.500, 0.876], [0.500, 0.000, 0.124], [0.500, 0.500, 0.500], [0.000, 0.000, 0.000]],
  "delta_e_f_ev_per_fu": 0.33,
  "total_energy_ev_per_atom": -4.583
}



Entry 5:
{
  "formula": "Sm3HoEr5",
  "functional": "GGA-PBE",
  "state": "relaxed",
  "lattice": [[6.288, 0.000, 0.000], [-3.144, 10.780, -5.442], [0.000, -3.840, 10.812]],
  "species": ["Sm", "Sm", "Sm", "Sm", "Sm", "Sm", "Er", "Er", "Er", "Er", "Er", "Er", "Er", "Er", "Er", "Er", "Ho", "Ho"],
  "fractional_positions": [[0.481, 0.307, 0.289], [0.000, 0.000, 0.000], [0.174, 0.693, 0.211], [0.519, 0.693, 0.711], [0.000, 0.000, 0.500], [0.826, 0.307, 0.789], [0.002, 0.661, 0.551], [0.601, 0.000, 0.250], [0.399, 0.000, 0.750], [0.659, 0.661, 0.051], [0.544, 0.649, 0.373], [0.105, 0.649, 0.873], [0.456, 0.351, 0.627], [0.341, 0.339, 0.949], [0.895, 0.351, 0.127], [0.998, 0.339, 0.449], [0.120, 0.000, 0.250], [0.880, 0.000, 0.750]],
  "delta_e_f_ev_per_fu": 2.68,
  "total_energy_ev_per_atom": -4.319
}



Entry 6:
{
  "formula": "Sm12Ho2Er5",
  "functional": "GGA-PBE",
  "state": "relaxed",
  "lattice": [[-2.316, -9.997, -1.502], [6.323, 3.003, 6.069], [-5.378, 0.366, 5.860]],
  "species": ["Er", "Er", "Er", "Er", "Er", "Sm", "Sm", "Sm", "Sm", "Sm", "Sm", "Sm", "Sm", "Sm", "Sm", "Sm", "Sm", "Ho", "Ho"],
  "fractional_positions": [[0.000, 0.000, 0.500], [0.347, 0.694, 0.090], [0.756, 0.512, 0.488], [0.244, 0.488, 0.512], [0.653, 0.306, 0.910], [0.833, 0.212, 0.612], [0.621, 0.788, 0.388], [0.420, 0.380, 0.206], [0.379, 0.212, 0.612], [0.142, 0.283, 0.885], [0.580, 0.620, 0.794], [0.041, 0.620, 0.794], [0.167, 0.788, 0.388], [0.959, 0.380, 0.206], [0.447, 0.895, 0.710], [0.858, 0.717, 0.115], [0.553, 0.105, 0.290], [0.258, 0.000, 0.000], [0.742, 0.000, 0.000]],
  "delta_e_f_ev_per_fu": 2.59,
  "total_energy_ev_per_atom": -4.527
}



Entry 7:
{
  "formula": "SmHo2Er12",
  "functional": "GGA-PBE",
  "state": "relaxed",
  "lattice": [[6.376, -1.432, 0.511], [-1.432, 6.376, 0.511], [1.248, 1.248, 24.586]],
  "species": ["Sm", "Sm", "Er", "Er", "Er", "Er", "Er", "Er", "Er", "Er", "Er", "Er", "Er", "Er", "Er", "Er", "Er", "Er", "Er", "Er", "Er", "Er", "Er", "Er", "Er", "Er", "Ho", "Ho", "Ho", "Ho"],
  "fractional_positions": [[0.999, 0.499, 0.001], [0.501, 0.001, 0.999], [0.099, 0.095, 0.202], [0.997, 0.001, 0.669], [0.316, 0.816, 0.576], [0.557, 0.557, 0.925], [0.396, 0.896, 0.137], [0.501, 0.497, 0.669], [0.336, 0.331, 0.555], [0.823, 0.323, 0.572], [0.184, 0.684, 0.424], [0.669, 0.664, 0.445], [0.104, 0.604, 0.863], [0.943, 0.943, 0.075], [0.831, 0.836, 0.555], [0.677, 0.177, 0.428], [0.401, 0.405, 0.798], [0.999, 0.003, 0.331], [0.895, 0.395, 0.139], [0.595, 0.599, 0.202], [0.443, 0.443, 0.075], [0.503, 0.499, 0.331], [0.605, 0.105, 0.861], [0.057, 0.057, 0.925], [0.164, 0.169, 0.445], [0.905, 0.901, 0.798], [0.543, 0.043, 0.272], [0.047, 0.547, 0.272], [0.957, 0.457, 0.728], [0.453, 0.953, 0.728]],
  "delta_e_f_ev_per_fu": 1.75,
  "total_energy_ev_per_atom": -4.459
}



Entry 8:
{
  "formula": "SmHoEr6",
  "functional": "GGA-PBE",
  "state": "relaxed",
  "lattice": [[-2.476, -1.512, -4.051], [-3.271, -2.397, 2.895], [-5.653, 8.194, 0.397]],
  "species": ["Sm", "Er", "Er", "Er", "Er", "Er", "Er", "Ho"],
  "fractional_positions": [[0.000, 0.000, 0.500], [0.000, 0.500, 0.752], [0.500, 0.000, 0.752], [0.500, 0.500, 0.000], [0.500, 0.000, 0.248], [0.000, 0.500, 0.248], [0.500, 0.500, 0.500], [0.000, 0.000, 0.000]],
  "delta_e_f_ev_per_fu": 0.19,
  "total_energy_ev_per_atom": -4.560
}